# PBE ThCu2AgCl8, optimized geometry
data_ThCu2AgCl8
_chemical_formula_sum 'Th1 Cu2 Ag1 Cl8'
_cell_length_a 6.6956
_cell_length_b 6.8705
_cell_length_c 8.0019
_cell_angle_alpha 74.11
_cell_angle_beta 89.51
_cell_angle_gamma 79.96
_symmetry_space_group_name_H-M 'P 1'
_symmetry_Int_Tables_number 1
loop_
_symmetry_equiv_pos_as_xyz
'x,y,z'
loop_
_atom_site_label
_atom_site_fract_x
_atom_site_fract_y
_atom_site_fract_z
_atom_site_occupancy
Th1 0.0000 0.0000 0.0000 1
Cu1 0.4704 0.3865 0.6818 1
Cu2 0.5296 0.6135 0.3182 1
Ag1 0.0000 0.0000 0.5000 1
Cl1 0.1172 0.2062 0.2126 1
Cl2 0.1477 0.2529 0.7247 1
Cl3 0.3669 0.7447 0.0512 1
Cl4 0.3775 0.7213 0.5401 1
Cl5 0.6225 0.2787 0.4599 1
Cl6 0.6331 0.2553 0.9488 1
Cl7 0.8523 0.7471 0.2753 1
Cl8 0.8828 0.7938 0.7874 1
# - Total magnetization: 1.06 μB/f.u.
# - Uncorrected formation energy: -1.1618 eV per atom